(1)
Ce5Tc3P12 | PBE | relaxed

```
Ce5Tc3P12
1.0
-7.615 7.615 7.615
7.615 -7.615 7.615
7.615 7.615 -7.615
Ce Tc P
20 12 48
direct
0.000 0.000 0.000 Ce
0.000 0.000 0.500 Ce
0.000 0.500 0.000 Ce
0.000 0.500 0.500 Ce
0.125 0.750 0.875 Ce
0.125 0.875 0.250 Ce
0.250 0.125 0.875 Ce
0.250 0.625 0.375 Ce
0.375 0.250 0.625 Ce
0.375 0.625 0.750 Ce
0.500 0.000 0.000 Ce
0.500 0.000 0.500 Ce
0.500 0.500 0.000 Ce
0.500 0.500 0.500 Ce
0.625 0.375 0.250 Ce
0.625 0.750 0.375 Ce
0.750 0.375 0.625 Ce
0.750 0.875 0.125 Ce
0.875 0.125 0.750 Ce
0.875 0.250 0.125 Ce
0.125 0.250 0.375 Tc
0.125 0.375 0.750 Tc
0.250 0.375 0.125 Tc
0.250 0.875 0.625 Tc
0.375 0.125 0.250 Tc
0.375 0.750 0.125 Tc
0.625 0.250 0.875 Tc
0.625 0.875 0.750 Tc
0.750 0.125 0.375 Tc
0.750 0.625 0.875 Tc
0.875 0.625 0.250 Tc
0.875 0.750 0.625 Tc
0.066 0.653 0.392 P
0.066 0.913 0.674 P
0.087 0.261 0.153 P
0.087 0.326 0.934 P
0.108 0.761 0.674 P
0.108 0.847 0.434 P
0.153 0.087 0.261 P
0.153 0.566 0.892 P
0.174 0.261 0.608 P
0.174 0.413 0.566 P
0.239 0.326 0.892 P
0.239 0.413 0.347 P
0.261 0.153 0.087 P
0.261 0.608 0.174 P
0.326 0.892 0.239 P
0.326 0.934 0.087 P
0.347 0.239 0.413 P
0.347 0.608 0.934 P
0.392 0.066 0.653 P
0.392 0.826 0.739 P
0.413 0.347 0.239 P
0.413 0.566 0.174 P
0.434 0.108 0.847 P
0.434 0.826 0.587 P
0.566 0.174 0.413 P
0.566 0.892 0.153 P
0.587 0.434 0.826 P
0.587 0.653 0.761 P
0.608 0.174 0.261 P
0.608 0.934 0.347 P
0.653 0.392 0.066 P
0.653 0.761 0.587 P
0.674 0.066 0.913 P
0.674 0.108 0.761 P
0.739 0.392 0.826 P
0.739 0.847 0.913 P
0.761 0.587 0.653 P
0.761 0.674 0.108 P
0.826 0.587 0.434 P
0.826 0.739 0.392 P
0.847 0.434 0.108 P
0.847 0.913 0.739 P
0.892 0.153 0.566 P
0.892 0.239 0.326 P
0.913 0.674 0.066 P
0.913 0.739 0.847 P
0.934 0.087 0.326 P
0.934 0.347 0.608 P
```

Properties
ΔH_f (0 K), eV/f.u.: -6.5
Total magnetization, μB per formula unit: 0.459


(2)
YThNiAu | PBE | relaxed

```
YThNiAu
1.0
0.000 3.584 3.584
3.584 0.000 3.584
3.584 3.584 0.000
Y Th Ni Au
1 1 1 1
direct
0.000 0.000 0.000 Y
0.500 0.500 0.500 Th
0.250 0.250 0.250 Ni
0.750 0.750 0.750 Au
```

Properties
E above lowest polymorph, meV per atom: 158
ΔH_f (0 K), eV/f.u.: -1.8
Total magnetization, μB per formula unit: 0.000


(3)
Pr4NiSn3 | PBE | relaxed

```
Pr4NiSn3
1.0
4.462 0.000 0.000
0.000 4.542 0.000
0.000 0.000 11.524
Pr Ni Sn
4 1 3
direct
0.000 0.000 0.000 Pr
0.000 0.500 0.464 Pr
0.500 0.000 0.699 Pr
0.500 0.500 0.207 Pr
0.000 0.000 0.271 Ni
0.000 0.500 0.751 Sn
0.500 0.000 0.412 Sn
0.500 0.500 0.928 Sn
```

Properties
ΔH_f (0 K), eV/f.u.: -4.8
Total magnetization, μB per formula unit: 0.000